1.
The following is a PBE calculation of a relaxed PH3F crystal, from Alexandria.

Values from the calculation:
* V: 37.3 Å³ per cell
* energy above the most stable polymorph in this dataset: 1556 meV/atom
* magnetization: 0.000 μB per atom
* crystal system: cubic

Unit cell a=3.3406 b=3.3406 c=3.3406 alpha=90.00 beta=90.00 gamma=90.00
Space group Pm-3m (No. 221)
Inequivalent atoms, fractional coordinates:
P: 0.0000 0.0000 0.0000 (multiplicity 1)
H: 0.0000 0.5000 0.5000 (multiplicity 3)
F: 0.5000 0.5000 0.5000 (multiplicity 1)

***

2.
The following is a PBE calculation of a relaxed PH3F crystal, from Alexandria.

Values from the calculation:
* V: 1236.8 Å³ per cell
* energy above the most stable polymorph in this dataset: 115 meV/atom
* magnetization: 0.000 μB per atom
* crystal system: trigonal

Unit cell a=16.1302 b=16.1302 c=5.4892 alpha=90.00 beta=90.00 gamma=120.00
Space group R-3 (No. 148, hexagonal axes)
Inequivalent atoms, fractional coordinates:
P: 0.0207 0.2461 0.2563 (multiplicity 18)
H: 0.0031 0.6127 0.3070 (multiplicity 18)
H: 0.0292 0.8481 0.6432 (multiplicity 18)
H: 0.0367 0.4537 0.1171 (multiplicity 18)
F: 0.0951 0.2201 0.1002 (multiplicity 18)

***

3.
The following is a PBE calculation of a relaxed PHF2 crystal, from Alexandria.

Values from the calculation:
* V: 108.5 Å³ per cell
* energy above the most stable polymorph in this dataset: 890 meV/atom
* magnetization: 0.000 μB per atom
* crystal system: trigonal

Unit cell a=2.6827 b=2.6827 c=17.4022 alpha=90.00 beta=90.00 gamma=120.00
Space group R-3m (No. 166, hexagonal axes)
Inequivalent atoms, fractional coordinates:
P: 0.0000 0.0000 0.0000 (multiplicity 3)
H: 0.0000 0.0000 0.5000 (multiplicity 3)
F: 0.0000 0.0000 0.1102 (multiplicity 6)

***

4.
The following is a PBE calculation of a relaxed PH2F8 crystal, from Alexandria.

Values from the calculation:
* V: 261.5 Å³ per cell
* magnetization: 0.102 μB per atom
* crystal system: monoclinic
* final energy: -4.338 eV/atom

Unit cell a=8.4626 b=6.3389 c=4.8858 alpha=90.00 beta=94.01 gamma=90.00
Space group C2/m (No. 12)
Inequivalent atoms, fractional coordinates:
P: 0.0000 0.0000 0.0000 (multiplicity 2)
H: 0.1969 0.5000 0.5397 (multiplicity 4)
F: 0.0992 0.1811 0.8516 (multiplicity 8)
F: 0.1227 0.5000 0.3813 (multiplicity 4)
F: 0.1331 0.0000 0.2628 (multiplicity 4)

***

5.
The following is a PBE calculation of a relaxed PHF3 crystal, from Alexandria.

Values from the calculation:
* V: 159.3 Å³ per cell
* energy above the most stable polymorph in this dataset: 0 meV/atom
* magnetization: 0.200 μB per atom
* crystal system: triclinic

Unit cell a=4.6925 b=4.9754 c=6.8686 alpha=83.37 beta=89.96 gamma=89.92
Space group P1 (No. 1)
Inequivalent atoms, fractional coordinates:
P: 0.0000 0.0000 0.0000 (multiplicity 1)
P: 0.4995 0.3967 0.4007 (multiplicity 1)
H: 0.3487 0.1668 0.4833 (multiplicity 1)
H: 0.8489 0.2301 0.9174 (multiplicity 1)
F: 0.2758 0.0497 0.8504 (multiplicity 1)
F: 0.2852 0.4540 0.2055 (multiplicity 1)
F: 0.3740 0.6398 0.5037 (multiplicity 1)
F: 0.7748 0.3473 0.5506 (multiplicity 1)
F: 0.7848 0.9424 0.1949 (multiplicity 1)
F: 0.8758 0.7571 0.8966 (multiplicity 1)

***

6.
The following is a PBE calculation of a relaxed PHF crystal, from Alexandria.

Values from the calculation:
* V: 45.5 Å³ per cell
* energy above the most stable polymorph in this dataset: 196 meV/atom
* magnetization: 0.000 μB per atom
* crystal system: triclinic

Unit cell a=2.6921 b=4.2067 c=4.6576 alpha=102.17 beta=105.87 gamma=108.37
Space group P1 (No. 1)
Inequivalent atoms, fractional coordinates:
P: 0.0000 0.0000 0.0000 (multiplicity 1)
H: 0.2715 0.3653 0.1940 (multiplicity 1)
F: 0.8757 0.0746 0.6592 (multiplicity 1)